1.
A plane-wave DFT calculation with GGA-PBE was carried out for a geometry-optimized GaBRh2 structure.

Cell lengths 5.200, 5.200, 5.200 Å; angles 105.08, 105.08, 118.66 degrees
Positions (direct):
Ga  0.000  0.000  0.000
Ga  0.750  0.250  0.500
B  0.250  0.750  0.500
B  0.500  0.500  0.000
Rh  0.206  0.625  0.081
Rh  0.375  0.456  0.581
Rh  0.544  0.125  0.919
Rh  0.875  0.794  0.419

Output
E_form (eV/atom): -0.2991
Space group: I-42d
Density (g cm⁻³): 9.0

2.
A plane-wave DFT calculation with GGA-PBE was carried out for a geometry-optimized SmBC structure.

Cell lengths 7.276, 3.505, 6.530 Å; angles 90.00, 90.00, 90.00 degrees
Positions (direct):
Sm  0.172  0.250  0.155
Sm  0.328  0.750  0.655
Sm  0.672  0.250  0.345
Sm  0.828  0.750  0.845
B  0.023  0.250  0.573
B  0.477  0.750  0.073
B  0.523  0.250  0.927
B  0.977  0.750  0.427
C  0.086  0.250  0.788
C  0.414  0.750  0.288
C  0.586  0.250  0.712
C  0.914  0.750  0.212

Output
Distance to the lowest polymorph of the same formula (kJ per mole of atoms): 9.2
E_form (eV/atom): -0.3097
Space group: Pnma
Density (g cm⁻³): 6.9

3.
A plane-wave DFT calculation with GGA-PBE was carried out for a geometry-optimized KBiPtPb structure.

Cell lengths 4.601, 4.601, 7.971 Å; angles 90.07, 90.07, 59.99 degrees
Positions (direct):
K  0.000  0.000  0.000
Bi  0.667  0.667  0.289
Pt  0.334  0.334  0.396
Pb  0.001  0.001  0.551

Output
E_form (eV/atom): -0.2537
Space group: Cm
Density (g cm⁻³): 7.4

> The highest density belongs to which entry?

GaBRh2

> What is the E_form in the second record?

-0.3097 eV/atom

> Look up the density of the third one.

7.4 g cm⁻³